Entry 1:
First-principles (PBE-GGA) data for NbFe2HPd after structural relaxation, as listed in Alexandria via LeMat-Bulk.

Excess energy over the best structure of this formula in the dataset: 0 kJ/mol of formula units
DFT total energy: -7.158 eV per atom
Density: 9.03 g/cm³
V: 57.4 Å³/f.u.
Spin magnetization: 0.50 μB/atom
Density of states at the Fermi level: 0.702 states/eV per atom

Lattice parameters (Å, degrees): 3.8098 3.8098 3.9515 90.00 90.00 90.00
Atoms (fractional coordinates):
H  0.0000  0.0000  0.0000
Nb  0.0000  0.0000  0.5000
Fe  0.0000  0.5000  0.0000
Fe  0.5000  0.0000  0.0000
Pd  0.5000  0.5000  0.5000

Entry 2:
First-principles (PBE-GGA) data for NbFe2HPd after structural relaxation, as listed in Alexandria via LeMat-Bulk.

Excess energy over the best structure of this formula in the dataset: 3 kJ/mol of formula units
DFT total energy: -7.152 eV per atom
Density: 9.16 g/cm³
V: 56.6 Å³/f.u.
Spin magnetization: 0.38 μB/atom
Density of states at the Fermi level: 0.529 states/eV per atom

Lattice parameters (Å, degrees): 3.8692 3.8692 3.7795 90.00 90.00 90.00
Atoms (fractional coordinates):
H  0.0000  0.0000  0.0000
Nb  0.5000  0.5000  0.5000
Fe  0.0000  0.5000  0.0000
Fe  0.5000  0.0000  0.0000
Pd  0.0000  0.0000  0.5000

Entry 3:
First-principles (PBE-GGA) data for RbNbFeHPd after structural relaxation, as listed in Alexandria via LeMat-Bulk.

Excess energy over the best structure of this formula in the dataset: 27 kJ/mol of formula units
DFT total energy: -5.435 eV per atom
Density: 6.59 g/cm³
V: 86.1 Å³/f.u.
Spin magnetization: 0.11 μB/atom
Density of states at the Fermi level: 0.478 states/eV per atom

Lattice parameters (Å, degrees): 3.0730 3.2650 8.7158 89.97 79.91 90.00
Atoms (fractional coordinates):
Rb  0.4361  0.7113  0.6283
Nb  0.1792  0.7107  0.1448
Fe  0.6105  0.2111  0.2841
H  0.0535  0.2123  0.3976
Pd  0.7768  0.2109  0.9484

Entry 4:
First-principles (PBE-GGA) data for RbNbFeHPd after structural relaxation, as listed in Alexandria via LeMat-Bulk.

Excess energy over the best structure of this formula in the dataset: 89 kJ/mol of formula units
DFT total energy: -5.306 eV per atom
Density: 5.56 g/cm³
V: 102.1 Å³/f.u.
Spin magnetization: 0.00 μB/atom
Density of states at the Fermi level: 0.497 states/eV per atom

Lattice parameters (Å, degrees): 3.2073 4.5578 7.6668 102.56 90.06 110.57
Atoms (fractional coordinates):
Rb  0.5404  0.5351  0.6146
Nb  0.0921  0.6377  0.1347
Fe  0.7782  0.0090  0.2352
H  0.7880  0.0263  0.4407
Pd  0.3421  0.1387  0.9778

Entry 5:
First-principles (PBE-GGA) data for RbNbFeHPd after structural relaxation, as listed in Alexandria via LeMat-Bulk.

Excess energy over the best structure of this formula in the dataset: 85 kJ/mol of formula units
DFT total energy: -5.315 eV per atom
Density: 5.40 g/cm³
V: 105.1 Å³/f.u.
Spin magnetization: 0.00 μB/atom
Density of states at the Fermi level: 0.635 states/eV per atom

Lattice parameters (Å, degrees): 7.5110 4.0324 7.2835 90.00 107.60 90.00
Atoms (fractional coordinates):
Rb  0.3539  0.0000  0.8955
Rb  0.3539  0.5000  0.3955
Nb  0.8129  0.0000  0.3845
Nb  0.8129  0.5000  0.8845
Fe  0.8092  0.0000  0.7232
Fe  0.8092  0.5000  0.2232
H  0.6225  0.0000  0.5400
H  0.6225  0.5000  0.0400
Pd  0.9984  0.0000  0.1100
Pd  0.9984  0.5000  0.6100

Entry 6:
First-principles (PBE-GGA) data for RbNbFeHPd after structural relaxation, as listed in Alexandria via LeMat-Bulk.

Excess energy over the best structure of this formula in the dataset: 131 kJ/mol of formula units
DFT total energy: -5.219 eV per atom
Density: 5.64 g/cm³
V: 100.6 Å³/f.u.
Spin magnetization: 0.26 μB/atom
Density of states at the Fermi level: 0.694 states/eV per atom

Lattice parameters (Å, degrees): 3.1265 4.5816 7.2014 90.01 77.28 89.98
Atoms (fractional coordinates):
Rb  0.3145  0.6307  0.5663
Nb  0.6007  0.1308  0.0085
Fe  0.9726  0.1308  0.2590
H  0.8459  0.1301  0.5027
Pd  0.0723  0.6308  0.0667